1.
A crystal of SrTl3S relaxed with PBEsol, computed with meta-GGA SCAN.

Density of states at the Fermi level   3.35 states/eV per cell
ΔE_f (raw)   0.73 eV per atom

Unit cell a=5.972 b=5.972 c=5.972 alpha=90.00 beta=90.00 gamma=90.00
Positions (direct):
Tl: 0.500 0.000 0.000
Tl: 0.000 0.500 0.000
Tl: 0.000 0.000 0.500
Sr: 0.000 0.000 0.000
S: 0.500 0.500 0.500

2.
A crystal of HgPt2Cl relaxed with PBEsol, computed with meta-GGA SCAN.

Density of states at the Fermi level   6.04 states/eV per cell
ΔE_f (raw)   0.53 eV per atom
Energy above the lowest structure with this stoichiometry   0.00 kcal/mol of atoms

Unit cell a=4.591 b=4.591 c=4.591 alpha=60.00 beta=60.00 gamma=60.00
Positions (direct):
Hg: 0.250 0.250 0.250
Pt: 0.750 0.750 0.750
Pt: 0.000 0.000 0.000
Cl: 0.500 0.500 0.500

Number 1: mass density 5.71 g/cm³. Number 2: mass density 15.19 g/cm³.